1.
{"formula": "Co2AsPW", "functional": "PBE", "state": "optimized geometry", "lattice_angstrom": [[-1.034, 0.517, -3.922], [-4.398, 0.385, 1.211], [0.467, 4.042, 0.410]], "species": ["W", "Co", "Co", "As", "P"], "frac_coords": [[0.000, 0.500, 0.000], [0.000, 0.000, 0.500], [0.500, 0.000, 0.000], [0.500, 0.500, 0.500], [0.000, 0.000, 0.000]]}

---

2.
{"formula": "PaCoAs3", "functional": "PBE", "state": "optimized geometry", "lattice_angstrom": [[5.618, -0.002, 0.000], [-0.001, 5.759, 0.000], [0.000, 0.002, 5.784]], "species": ["As", "As", "As", "As", "As", "As", "Co", "Co", "Pa", "Pa"], "frac_coords": [[0.942, 0.512, 0.928], [0.442, 0.841, 0.974], [0.943, 0.512, 0.473], [0.443, 0.841, 0.428], [0.901, 0.072, 0.701], [0.400, 0.281, 0.201], [0.160, 0.766, 0.701], [0.659, 0.587, 0.201], [0.933, 0.057, 0.201], [0.434, 0.296, 0.701]]}

---

Calculated calculated total energy in order - -0.25465 -0.24285 hartree per atom
Calculated spin magnetization in order - 1.09 0.00 μB per formula unit
Calculated ΔE_f in order - 249 -240 kJ/mol of formula units